No. 1
## In5Ag3Cl12 (PBE)

Data for a relaxed structure of In5Ag3Cl12.

```
data_In5Ag3Cl12
_chemical_formula_sum 'In40 Ag24 Cl96'
_cell_length_a 17.014
_cell_length_b 17.014
_cell_length_c 17.014
_cell_angle_alpha 90.00
_cell_angle_beta 90.00
_cell_angle_gamma 90.00
_symmetry_space_group_name_H-M 'I a -3 d'
_symmetry_Int_Tables_number 230
_symmetry_space_group_name_Hall '-I 4bd 2c 3'
loop_
_atom_site_label
_atom_site_type_symbol
_atom_site_fract_x
_atom_site_fract_y
_atom_site_fract_z
In1 In 0.000 0.000 0.000
In2 In 0.000 0.250 0.375
Ag1 Ag 0.000 0.250 0.125
Cl1 Cl 0.034 0.077 0.664
```

Calculated values
As for the energy: -455.12 eV for the cell shown. For the density of states at the Fermi level, the calculation gives 0.420 states/eV per atom. The total magnetization is 0.000 μB/cell.

=====

No. 2
## InAgIrCl2 (PBE)

Data for a relaxed structure of InAgIrCl2.

```
data_InAgIrCl2
_chemical_formula_sum 'In1 Ag1 Ir1 Cl2'
_cell_length_a 4.687
_cell_length_b 4.687
_cell_length_c 6.522
_cell_angle_alpha 90.00
_cell_angle_beta 90.00
_cell_angle_gamma 90.00
_symmetry_space_group_name_H-M 'P 4/m m m'
_symmetry_Int_Tables_number 123
_symmetry_space_group_name_Hall '-P 4 2'
loop_
_atom_site_label
_atom_site_type_symbol
_atom_site_fract_x
_atom_site_fract_y
_atom_site_fract_z
In1 In 0.000 0.000 0.000
Ag1 Ag 0.000 0.000 0.500
Ir1 Ir 0.500 0.500 0.000
Cl1 Cl 0.000 0.500 0.500
```

Calculated values
As for the energy: -14.05 eV for the cell shown. For the density of states at the Fermi level, the calculation gives 0.603 states/eV per atom. The total magnetization is 1.975 μB/cell.

=====

No. 3
## KIn2AgCl4 (PBE)

Data for a relaxed structure of KIn2AgCl4.

```
data_KIn2AgCl4
_chemical_formula_sum 'K4 In8 Ag4 Cl16'
_cell_length_a 12.322
_cell_length_b 12.745
_cell_length_c 8.840
_cell_angle_alpha 90.00
_cell_angle_beta 133.58
_cell_angle_gamma 90.00
_symmetry_space_group_name_H-M 'C 1 2/c 1'
_symmetry_Int_Tables_number 15
_symmetry_space_group_name_Hall '-C 2yc'
loop_
_atom_site_label
_atom_site_type_symbol
_atom_site_fract_x
_atom_site_fract_y
_atom_site_fract_z
K1 K 0.250 0.250 0.000
In1 In 0.000 0.000 0.000
In2 In 0.250 0.250 0.500
Ag1 Ag 0.000 0.500 0.000
Cl1 Cl 0.001 0.241 0.508
Cl2 Cl 0.210 0.497 0.018
```

Calculated values
As for the energy: -98.37 eV for the cell shown. For the density of states at the Fermi level, the calculation gives 0.000 states/eV per atom. The total magnetization is 0.000 μB/cell.